Entry 1:
The following is a PBE calculation of LiCr2As after structural relaxation, from Alexandria via LeMat-Bulk.

Cell lengths 4.652, 4.652, 4.652 Å; angles 135.59, 135.59, 64.61 degrees
Element x y z (fractional)
Li (0.000, 0.000, 0.000)
Cr (0.250, 0.750, 0.500)
Cr (0.750, 0.250, 0.500)
As (0.500, 0.500, 0.000)

## Properties
For the energy of formation from the pure elements, the calculation gives 0.150 eV per atom.



Entry 2:
The following is a PBE calculation of TlCr4Ir after structural relaxation, from Alexandria via LeMat-Bulk.

Cell lengths 4.879, 4.879, 4.879 Å; angles 60.00, 60.00, 60.00 degrees
Element x y z (fractional)
Tl (0.000, 0.000, 0.000)
Cr (0.120, 0.627, 0.627)
Cr (0.627, 0.120, 0.627)
Cr (0.627, 0.627, 0.120)
Cr (0.627, 0.627, 0.627)
Ir (0.250, 0.250, 0.250)

## Properties
For the energy of formation from the pure elements, the calculation gives 0.384 eV per atom.



| no. | calculated volume (Å³ per cell) | final energy (eV per atom) |
| --- | --- | --- |
| 1 | 48.62 | -6.303 |
| 2 | 82.12 | -7.903 |